# 1
# Tl2SnSe3

Tl2SnSe3 after structural relaxation (PBE, Alexandria via LeMat-Bulk).

Symmetry: C2/c
Crystal system: monoclinic
Formation energy (no corrections) (eV/atom): -0.371

a = 8.1552 Å, b = 8.1552 Å, c = 15.5656 Å
α = 90.23°, β = 90.23°, γ = 126.22°
Closest atoms and distances in Å follow each position.
Atoms (fractional coordinates):
1 Tl 0.0145 0.5809 0.6426  4 Se 3.21-3.40
2 Tl 0.1600 0.3850 0.9422  5 Se 3.18-3.49
3 Tl 0.3850 0.1600 0.4422  5 Se 3.18-3.49
4 Tl 0.4191 0.9855 0.8574  4 Se 3.21-3.40
5 Tl 0.5809 0.0145 0.1426  4 Se 3.21-3.40
6 Tl 0.6150 0.8400 0.5578  5 Se 3.18-3.49
7 Tl 0.8400 0.6150 0.0578  5 Se 3.18-3.49
8 Tl 0.9855 0.4191 0.3574  4 Se 3.21-3.40
9 Sn 0.2396 0.2419 0.6639  4 Se 2.50-2.62
10 Sn 0.2419 0.2396 0.1639  4 Se 2.50-2.62
11 Sn 0.7581 0.7604 0.8361  4 Se 2.50-2.62
12 Sn 0.7604 0.7581 0.3361  4 Se 2.50-2.62
13 Se 0.0670 0.4079 0.1538  1 Sn 2.50
14 Se 0.0934 0.9066 0.2500  2 Sn 2.61
15 Se 0.1742 0.3508 0.5228  1 Sn 2.54
16 Se 0.3508 0.1742 0.0228  1 Sn 2.54
17 Se 0.4079 0.0670 0.6538  1 Sn 2.50
18 Se 0.4153 0.5847 0.7500  2 Sn 2.62
19 Se 0.5847 0.4153 0.2500  2 Sn 2.62
20 Se 0.5921 0.9330 0.3462  1 Sn 2.50
21 Se 0.6492 0.8258 0.9772  1 Sn 2.54
22 Se 0.8258 0.6492 0.4772  1 Sn 2.54
23 Se 0.9066 0.0934 0.7500  2 Sn 2.61
24 Se 0.9330 0.5921 0.8462  1 Sn 2.50

---

# 2
# BaCr2Cd

BaCr2Cd after structural relaxation (PBE, Alexandria via LeMat-Bulk).

Symmetry: R3m
Crystal system: trigonal

a = 10.1637 Å, b = 10.1637 Å, c = 10.1637 Å
α = 18.61°, β = 18.61°, γ = 18.61°
Closest atoms and distances in Å follow each position.
Atoms (fractional coordinates):
1 Ba 0.0000 0.0000 0.0000  6 Ba 3.29, 3 Cr 3.57, 3 Cd 3.61
2 Cr 0.2325 0.2325 0.2325  3 Cr 2.49
3 Cr 0.5119 0.5119 0.5119  3 Cr 2.49
4 Cd 0.7691 0.7691 0.7691  3 Cr 2.97, 6 Cd 3.29

---

# 3
# BaMgNb2Si

BaMgNb2Si after structural relaxation (PBE, Alexandria via LeMat-Bulk).

Symmetry: P4/mmm
Crystal system: tetragonal
Formation energy (no corrections) (eV/atom): 1.321

a = 5.0971 Å, b = 5.0971 Å, c = 4.8791 Å
α = 90.00°, β = 90.00°, γ = 90.00°
Closest atoms and distances in Å follow each position.
Atoms (fractional coordinates):
1 Ba 0.0000 0.0000 0.0000  8 Nb 3.53, 4 Si 3.60
2 Mg 0.5000 0.5000 0.5000  2 Si 2.44, 4 Nb 2.55
3 Nb 0.0000 0.5000 0.5000  2 Mg 2.55
4 Nb 0.5000 0.0000 0.5000  2 Mg 2.55
5 Si 0.5000 0.5000 0.0000  2 Mg 2.44

---

# 4
# Ti2NbTe2Cl4

Ti2NbTe2Cl4 after structural relaxation (PBE, Alexandria via LeMat-Bulk).

Symmetry: P3m1
Crystal system: trigonal
Formation energy (no corrections) (eV/atom): -1.102

a = 3.3993 Å, b = 3.3993 Å, c = 22.7400 Å
α = 90.00°, β = 90.00°, γ = 120.00°
Closest atoms and distances in Å follow each position.
Atoms (fractional coordinates):
1 Ti 0.0000 0.0000 0.0000  6 Cl 2.50
2 Ti 0.3333 0.6667 0.3052  6 Cl 2.50
3 Nb 0.3333 0.6667 0.6612  6 Te 2.80
4 Te 0.0000 0.0000 0.5735  3 Nb 2.80
5 Te 0.0000 0.0000 0.7489  3 Nb 2.80
6 Cl 0.0000 0.0000 0.2370  3 Ti 2.50
7 Cl 0.0000 0.0000 0.3734  3 Ti 2.50
8 Cl 0.3333 0.6667 0.0683  3 Ti 2.50
9 Cl 0.3333 0.6667 0.9318  3 Ti 2.50

---

# 5
# In2GeAu6

In2GeAu6 after structural relaxation (PBE, Alexandria via LeMat-Bulk).

Symmetry: C2/c
Crystal system: monoclinic

a = 8.6941 Å, b = 8.6941 Å, c = 5.3598 Å
α = 90.49°, β = 90.49°, γ = 120.24°
Closest atoms and distances in Å follow each position.
Atoms (fractional coordinates):
1 In 0.1691 0.3300 0.0014  10 Au 2.87-3.10
2 In 0.3300 0.1691 0.5014  10 Au 2.87-3.10
3 In 0.6700 0.8309 0.4986  10 Au 2.87-3.10
4 In 0.8309 0.6700 0.9986  10 Au 2.87-3.10
5 Ge 0.2502 0.7498 0.2500  10 Au 2.84-3.13
6 Ge 0.7498 0.2502 0.7500  10 Au 2.84-3.13
7 Au 0.0072 0.8293 0.4956  1 Ge 2.86, 4 In 2.87-3.09, 5 Au 2.92-3.05
8 Au 0.0785 0.5778 0.7580  3 Ge 2.84-3.13, 5 Au 2.92-3.06, 2 In 2.95
9 Au 0.1707 0.9928 0.0044  1 Ge 2.86, 4 In 2.87-3.09, 5 Au 2.92-3.05
10 Au 0.3303 0.5074 0.4964  1 Ge 2.86, 4 In 2.87-3.10, 5 Au 2.92-3.04
11 Au 0.4222 0.9215 0.7420  3 Ge 2.84-3.13, 5 Au 2.92-3.06, 2 In 2.95
12 Au 0.4926 0.6697 0.0036  1 Ge 2.86, 4 In 2.87-3.10, 5 Au 2.92-3.04
13 Au 0.5074 0.3303 0.9964  1 Ge 2.86, 4 In 2.87-3.10, 5 Au 2.92-3.04
14 Au 0.5778 0.0785 0.2580  3 Ge 2.84-3.13, 5 Au 2.92-3.06, 2 In 2.95
15 Au 0.6697 0.4926 0.5036  1 Ge 2.86, 4 In 2.87-3.10, 5 Au 2.92-3.04
16 Au 0.8293 0.0072 0.9956  1 Ge 2.86, 4 In 2.87-3.09, 5 Au 2.92-3.05
17 Au 0.9215 0.4222 0.2420  3 Ge 2.84-3.13, 5 Au 2.92-3.06, 2 In 2.95
18 Au 0.9928 0.1707 0.5044  1 Ge 2.86, 4 In 2.87-3.09, 5 Au 2.92-3.05

---

# 6
# TlSiSe2

TlSiSe2 after structural relaxation (PBE, Alexandria via LeMat-Bulk).

Symmetry: P4mm
Crystal system: tetragonal
Formation energy (no corrections) (eV/atom): 0.168

a = 3.3266 Å, b = 3.3266 Å, c = 9.0731 Å
α = 90.00°, β = 90.00°, γ = 90.00°
Closest atoms and distances in Å follow each position.
Atoms (fractional coordinates):
1 Tl 0.0000 0.0000 0.0000  4 Se 3.20, 4 Tl 3.33
2 Si 0.5000 0.5000 0.6912  4 Se 2.58
3 Se 0.0000 0.0000 0.5757  4 Si 2.58
4 Se 0.5000 0.5000 0.2385  4 Tl 3.20, 4 Se 3.33

---

| no. | total DFT energy (no corrections) (eV for the cell shown) | total magnetic moment (μB/f.u.) |
| --- | --- | --- |
| 1 | -85.7 | 0.000 |
| 2 | -19.0 | 0.285 |
| 3 | -22.5 | 2.056 |
| 4 | -49.4 | 0.587 |
| 5 | -60.5 | 0.000 |
| 6 | -14.1 | 0.000 |